A plane-wave DFT calculation with PBE-GGA was carried out for LiAgI2 after structural relaxation.

Properties
For the relative energy among the computed polymorphs, the calculation gives 345 meV/atom.

Lattice parameters (Å, degrees): 5.4497 5.4497 5.4497 60.00 60.00 60.00
With the nearest neighbours (Å) after each atom.
Fractional coordinates of all 4 atoms:
Li  0.0000  0.0000  0.0000  8 I 3.34
Ag  0.5000  0.5000  0.5000  8 I 3.34
I  0.2500  0.2500  0.2500  4 Li 3.34, 4 Ag 3.34
I  0.7500  0.7500  0.7500  4 Li 3.34, 4 Ag 3.34

A plane-wave DFT calculation with PBE-GGA was carried out for LiAg3I after structural relaxation.

Properties
For the relative energy among the computed polymorphs, the calculation gives 0 meV/atom.

Lattice parameters (Å, degrees): 4.8371 4.8371 4.8371 90.00 90.00 90.00
With the nearest neighbours (Å) after each atom.
Fractional coordinates of all 5 atoms:
Li  0.0000  0.0000  0.0000  6 Ag 2.42
Ag  0.0000  0.0000  0.5000  2 Li 2.42
Ag  0.0000  0.5000  0.0000  2 Li 2.42
Ag  0.5000  0.0000  0.0000  2 Li 2.42
I  0.5000  0.5000  0.5000  12 Ag 3.42

A plane-wave DFT calculation with PBE-GGA was carried out for LiAg4I5 after structural relaxation.

Properties
The total energy is -2.555 eV per atom.

Lattice parameters (Å, degrees): 4.6625 4.6625 37.9430 90.00 90.00 120.00
With the nearest neighbours (Å) after each atom.
Fractional coordinates of all 20 atoms:
Li  0.0000  0.0000  0.0000  4 I 2.80-2.81
Li  0.0000  0.0000  0.1964  4 I 2.80-2.81
Ag  0.0000  0.0000  0.3945  4 I 2.86-2.87
Ag  0.0000  0.0000  0.5970  4 I 2.86-2.87
Ag  0.0000  0.0000  0.7994  4 I 2.86-2.87
Ag  0.3333  0.6667  0.0965  4 I 2.86-2.87
Ag  0.3333  0.6667  0.2929  4 I 2.86-2.87
Ag  0.3333  0.6667  0.4958  4 I 2.86-2.87
Ag  0.3333  0.6667  0.6982  4 I 2.86-2.87
Ag  0.3333  0.6667  0.9006  4 I 2.86-2.87
I  0.0000  0.0000  0.1226  1 Li 2.80, 3 Ag 2.87
I  0.0000  0.0000  0.3190  4 Ag 2.87
I  0.0000  0.0000  0.5215  4 Ag 2.86-2.87
I  0.0000  0.0000  0.7238  4 Ag 2.86-2.87
I  0.0000  0.0000  0.9262  1 Li 2.80, 3 Ag 2.86
I  0.3333  0.6667  0.0210  3 Li 2.81, 1 Ag 2.86
I  0.3333  0.6667  0.2175  3 Li 2.81, 1 Ag 2.86
I  0.3333  0.6667  0.4203  4 Ag 2.86-2.87
I  0.3333  0.6667  0.6226  4 Ag 2.86-2.87
I  0.3333  0.6667  0.8250  4 Ag 2.86-2.87

no.,magnetization (μB/f.u.)
1,0.00
2,0.00
3,0.00